[1]
The following is a DFT calculation (GGA-PBE) of an optimized crystal structure of Rb2TiF.

The formation energy from raw total energies comes out at -7.6 kcal/mol of atoms. As for the total magnetic moment: 12.218 μB/cell. As for the density of states at the Fermi level: 8.78 states/eV/cell. For the distance to the lowest polymorph of the same formula, the calculation gives 0 meV per atom.

Cell lengths 8.263, 8.263, 10.169 Å; angles 90.00, 90.00, 90.00 degrees
Space group I-42d (No. 122)
Asymmetric unit:
Rb  0.125  0.250  0.125 [8 per cell]
Ti  0.000  0.000  0.500 [4 per cell]
F  0.000  0.000  0.000 [4 per cell]

[2]
The following is a DFT calculation (GGA-PBE) of an optimized crystal structure of Rb3TiF.

The formation energy from raw total energies comes out at -7.4 kcal/mol of atoms. As for the total magnetic moment: 3.867 μB/cell. As for the density of states at the Fermi level: 8.01 states/eV/cell. For the distance to the lowest polymorph of the same formula, the calculation gives 0 meV per atom.

Cell lengths 5.883, 5.883, 5.883 Å; angles 90.00, 90.00, 90.00 degrees
Space group Pm-3m (No. 221)
Asymmetric unit:
Rb  0.000  0.000  0.500 [3 per cell]
Ti  0.500  0.500  0.500 [1 per cell]
F  0.000  0.000  0.000 [1 per cell]

[3]
The following is a DFT calculation (GGA-PBE) of an optimized crystal structure of RbTi2F8.

The formation energy from raw total energies comes out at -71.4 kcal/mol of atoms. As for the total magnetic moment: 1.002 μB/cell. As for the density of states at the Fermi level: 6.10 states/eV/cell.

Cell lengths 4.902, 4.902, 6.834 Å; angles 90.00, 90.00, 90.00 degrees
Space group P4/mmm (No. 123)
Asymmetric unit:
Rb  0.000  0.000  0.000 [1 per cell]
Ti  0.000  0.500  0.500 [2 per cell]
F  0.250  0.250  0.333 [8 per cell]

[4]
The following is a DFT calculation (GGA-PBE) of an optimized crystal structure of RbTiF4.

The formation energy from raw total energies comes out at -73.6 kcal/mol of atoms. As for the total magnetic moment: 2.000 μB/cell. As for the density of states at the Fermi level: 7.72 states/eV/cell. For the distance to the lowest polymorph of the same formula, the calculation gives 0 meV per atom.

Cell lengths 5.528, 5.528, 6.635 Å; angles 90.00, 90.00, 90.00 degrees
Space group P4/mbm (No. 127)
Asymmetric unit:
Rb  0.000  0.500  0.000 [2 per cell]
Ti  0.000  0.000  0.500 [2 per cell]
F  0.000  0.000  0.207 [4 per cell]
F  0.195  0.305  0.500 [4 per cell]

[5]
The following is a DFT calculation (GGA-PBE) of an optimized crystal structure of RbTiF6.

The formation energy from raw total energies comes out at -63.5 kcal/mol of atoms. As for the total magnetic moment: 2.037 μB/cell. As for the density of states at the Fermi level: 5.61 states/eV/cell.

Cell lengths 8.203, 4.809, 7.150 Å; angles 90.00, 120.78, 90.00 degrees
Space group C2/m (No. 12)
Asymmetric unit:
Rb  0.000  0.000  0.000 [2 per cell]
Ti  0.000  0.500  0.500 [2 per cell]
F  0.112  0.248  0.734 [8 per cell]
F  0.227  0.500  0.492 [4 per cell]

[6]
The following is a DFT calculation (GGA-PBE) of an optimized crystal structure of Rb2TiF7.

The formation energy from raw total energies comes out at -64.9 kcal/mol of atoms. As for the total magnetic moment: 2.000 μB/cell. As for the density of states at the Fermi level: 18.77 states/eV/cell.

Cell lengths 6.235, 6.235, 9.361 Å; angles 90.00, 90.00, 90.00 degrees
Space group I4/mmm (No. 139)
Asymmetric unit:
Rb  0.000  0.500  0.250 [4 per cell]
Ti  0.000  0.000  0.000 [2 per cell]
F  0.000  0.000  0.201 [4 per cell]
F  0.000  0.000  0.500 [2 per cell]
F  0.214  0.214  0.000 [8 per cell]

Number 3 is which compound? RbTi2F8

Which of these has the lowest formation energy from raw total energies? RbTiF4

Among the records above, which one has the highest formation energy from raw total energies? Rb3TiF

total magnetic moment of number 3 (RbTi2F8)? 1.002 μB/cell